This record from Alexandria via LeMat-Bulk describes a relaxed Cs4Pu3CuO12 crystal. The functional is PBE-GGA.

Space group: No. 229
Magnetic moment, Bohr magnetons per cell: 4.9
Final energy, eV per atom: -7.594
ΔE_f (raw), eV/f.u.: -41.87

a = 7.628 Å, b = 7.628 Å, c = 7.628 Å
α = 109.47°, β = 109.47°, γ = 109.47°
Sites, in units of the cell vectors:
Cs (0.500, 0.500, 0.500)
Cs (0.000, 0.000, 0.500)
Cs (0.500, 0.000, 0.000)
Cs (0.000, 0.500, 0.000)
Pu (0.500, 0.000, 0.500)
Pu (0.500, 0.500, 0.000)
Pu (0.000, 0.500, 0.500)
Cu (0.000, 0.000, 0.000)
O (0.250, 0.500, 0.750)
O (0.716, 0.000, 0.716)
O (0.284, 0.000, 0.284)
O (0.750, 0.500, 0.250)
O (0.716, 0.716, 0.000)
O (0.284, 0.284, 0.000)
O (0.750, 0.250, 0.500)
O (0.250, 0.750, 0.500)
O (0.500, 0.250, 0.750)
O (0.000, 0.716, 0.716)
O (0.500, 0.750, 0.250)
O (0.000, 0.284, 0.284)